Entry 1:
Here is MnSiP after structural relaxation from the Alexandria database. Energies are from PBE.

a = 3.907 Å, b = 3.907 Å, c = 4.965 Å
α = 90.00°, β = 90.00°, γ = 90.00°
Atoms (fractional coordinates):
Mn  0.000  0.000  0.000
Mn  0.500  0.500  0.000
Si  0.500  0.000  0.283
Si  0.000  0.500  0.717
P  0.500  0.000  0.742
P  0.000  0.500  0.258

## Properties
- SG: P4/nmm (129)
- VASP energy: -6.949 eV/atom
- Formation energy from raw total energies: -0.282 eV/atom

---

Entry 2:
Here is MnSi2P after structural relaxation from the Alexandria database. Energies are from PBE.

a = 6.982 Å, b = 6.982 Å, c = 6.982 Å
α = 24.64°, β = 24.64°, γ = 24.64°
Atoms (fractional coordinates):
Mn  0.250  0.250  0.250
P  0.750  0.750  0.750
Si  0.998  0.998  0.998
Si  0.502  0.502  0.502

## Properties
- SG: R-3m (166)
- VASP energy: -6.231 eV/atom
- Formation energy from raw total energies: 0.125 eV/atom

---

Entry 3:
Here is Mn2Si2P after structural relaxation from the Alexandria database. Energies are from PBE.

a = 5.701 Å, b = 5.701 Å, c = 5.701 Å
α = 140.58°, β = 140.58°, γ = 56.97°
Last column: magnetic moment on the atom in μB.
Atoms (fractional coordinates):
Mn  0.250  0.750  0.500  2.41
Mn  0.750  0.250  0.500  2.41
Si  0.388  0.388  0.000  -0.09
Si  0.612  0.612  0.000  -0.09
P  0.000  0.000  0.000  0.08

## Properties
- SG: I4/mmm (139)
- VASP energy: -6.584 eV/atom
- Formation energy from raw total energies: 0.335 eV/atom

---

Entry 4:
Here is MnSiP after structural relaxation from the Alexandria database. Energies are from PBE.

a = 4.040 Å, b = 5.378 Å, c = 6.838 Å
α = 90.00°, β = 90.00°, γ = 90.00°
Atoms (fractional coordinates):
P  0.250  0.104  0.884
P  0.750  0.396  0.384
P  0.750  0.896  0.116
P  0.250  0.604  0.616
Si  0.250  0.835  0.312
Si  0.750  0.665  0.812
Si  0.750  0.165  0.688
Si  0.250  0.335  0.188
Mn  0.250  0.193  0.510
Mn  0.750  0.307  0.010
Mn  0.750  0.807  0.490
Mn  0.250  0.693  0.990

## Properties
- SG: Pnma (62)
- VASP energy: -6.838 eV/atom
- Formation energy from raw total energies: -0.170 eV/atom

---

Entry 5:
Here is MnSi2P after structural relaxation from the Alexandria database. Energies are from PBE.

a = 3.396 Å, b = 3.396 Å, c = 5.223 Å
α = 90.00°, β = 90.00°, γ = 90.00°
Last column: magnetic moment on the atom in μB.
Atoms (fractional coordinates):
Mn  0.000  0.000  0.590  2.98
P  0.500  0.500  0.639  -0.05
Si  0.000  0.000  0.068  -0.05
Si  0.500  0.500  0.203  0.00

## Properties
- SG: P4mm (99)
- VASP energy: -6.267 eV/atom
- Formation energy from raw total energies: 0.089 eV/atom

---

Entry 6:
Here is MnSi2P after structural relaxation from the Alexandria database. Energies are from PBE.

a = 4.267 Å, b = 4.267 Å, c = 4.267 Å
α = 125.85°, β = 125.85°, γ = 80.13°
Atoms (fractional coordinates):
Mn  0.500  0.500  0.000
P  0.750  0.250  0.500
Si  0.000  0.000  0.000
Si  0.250  0.750  0.500

## Properties
- SG: I-4m2 (119)
- VASP energy: -6.046 eV/atom
- Formation energy from raw total energies: 0.310 eV/atom

---

Entry 7:
Here is MnSi2P after structural relaxation from the Alexandria database. Energies are from PBE.

a = 8.719 Å, b = 8.719 Å, c = 8.719 Å
α = 18.00°, β = 18.00°, γ = 18.00°
Atoms (fractional coordinates):
Mn  0.498  0.498  0.498
P  0.769  0.769  0.769
Si  0.997  0.997  0.997
Si  0.236  0.236  0.236

## Properties
- SG: R3m (160)
- VASP energy: -6.249 eV/atom
- Formation energy from raw total energies: 0.107 eV/atom

---

Entry 8:
Here is MnSiP after structural relaxation from the Alexandria database. Energies are from PBE.

a = 6.284 Å, b = 6.284 Å, c = 3.194 Å
α = 90.00°, β = 90.00°, γ = 120.00°
Last column: magnetic moment on the atom in μB.
Atoms (fractional coordinates):
Mn  0.255  0.000  0.000  0.39
Mn  0.000  0.255  0.000  0.39
Mn  0.745  0.745  0.000  0.39
Si  0.615  0.000  0.500  0.00
Si  0.000  0.615  0.500  0.00
Si  0.385  0.385  0.500  0.00
P  0.333  0.667  0.000  -0.01
P  0.667  0.333  0.000  -0.01
P  0.000  0.000  0.500  -0.02

## Properties
- SG: P-62m (189)
- VASP energy: -6.639 eV/atom
- Formation energy from raw total energies: 0.029 eV/atom